1.
Density functional theory data (PBE) for a geometry-optimized DyZnNi2 structure.

Cell and atoms, written as extended XYZ:
```
4
Lattice="-1.215 2.802 -0.983 -2.277 -1.561 -1.635 -3.609 0.149 4.882" Properties=species:S:1:pos:R:3 pbc="T T T"
Dy -3.550 0.695 1.132
Ni -0.741 0.031 1.002
Zn -1.746 0.621 -1.309
Ni -2.868 0.118 3.880
```

Values from the calculation:
Formation energy, eV per formula unit: -1.05
Space-group type: P4/mmm, No. 123
Raw total energy, eV/atom: -4.62
Calculated density, g/cm³: 9.2


2.
Density functional theory data (PBE) for a geometry-optimized Dy3Zn2Ni4 structure.

Cell and atoms, written as extended XYZ:
```
9
Lattice="-2.530 3.186 0.686 1.495 -2.423 4.357 6.330 5.143 -0.543" Properties=species:S:1:pos:R:3 pbc="T T T"
Dy 4.110 2.577 3.187
Ni 1.252 2.789 4.072
Dy 0.000 0.000 0.000
Ni 5.925 4.266 2.040
Ni -0.631 1.641 2.461
Ni 4.043 3.118 0.429
Zn 1.556 0.616 2.874
Dy 1.185 3.330 1.314
Zn 3.739 5.291 1.627
```

Values from the calculation:
Formation energy, eV per formula unit: -3.99
Space-group type: C2/m, No. 12
Raw total energy, eV/atom: -4.83
Calculated density, g/cm³: 8.9


3.
Density functional theory data (PBE) for a geometry-optimized Dy5ZnNi2 structure.

Cell and atoms, written as extended XYZ:
```
16
Lattice="6.911 0.000 -3.262 -1.540 6.737 -3.262 -0.260 -0.327 8.399" Properties=species:S:1:pos:R:3 pbc="T T T"
Dy -0.834 3.288 4.293
Dy 0.768 5.298 -1.264
Ni 1.244 5.895 -4.078
Dy 3.951 6.490 -3.472
Dy 2.685 3.368 -3.262
Dy 0.000 0.000 0.000
Zn 1.212 1.521 2.568
Ni 5.084 4.211 -4.893
Ni 0.287 2.526 -1.631
Zn 3.898 4.889 -0.694
Dy 5.944 3.122 -2.419
Ni 4.127 0.842 -2.447
Dy 1.159 -0.080 5.347
Dy 2.761 1.930 -0.210
Dy 4.342 1.112 3.139
Dy 2.349 4.481 2.085
```

Values from the calculation:
Formation energy, eV per formula unit: -2.42
Space-group type: I4/mcm, No. 140
Raw total energy, eV/atom: -4.78
Calculated density, g/cm³: 8.8


4.
Density functional theory data (PBE) for a geometry-optimized DyZn10Ni2 structure.

Cell and atoms, written as extended XYZ:
```
13
Lattice="-1.975 3.696 -2.736 -5.565 2.491 2.805 2.484 6.043 1.795" Properties=species:S:1:pos:R:3 pbc="T T T"
Zn 1.242 3.022 0.897
Zn -2.572 6.910 2.038
Ni -3.770 3.093 0.035
Zn -2.483 5.321 -0.174
Zn -3.765 9.360 1.632
Zn 0.255 4.870 -0.470
Zn -2.754 3.649 2.341
Dy 0.000 0.000 0.000
Zn -0.258 7.158 0.703
Zn -2.301 8.581 -0.477
Zn -4.797 5.072 1.161
Zn -1.290 2.870 0.232
Ni -2.782 1.245 1.402
```

Values from the calculation:
Formation energy, eV per formula unit: -2.97
Space-group type: Fmmm, No. 69
Raw total energy, eV/atom: -2.45
Calculated density, g/cm³: 7.9


5.
Density functional theory data (PBE) for a geometry-optimized Dy3Zn9Ni2 structure.

Cell and atoms, written as extended XYZ:
```
14
Lattice="4.119 0.000 1.106 1.507 7.432 2.611 0.056 0.391 8.011" Properties=species:S:1:pos:R:3 pbc="T T T"
Zn 4.240 7.565 8.876
Zn 1.418 4.467 2.942
Ni 3.112 5.228 4.854
Zn 4.896 6.427 6.432
Zn 3.828 5.563 10.411
Dy 2.347 5.422 7.701
Dy 0.000 0.000 0.000
Zn 0.785 1.396 5.296
Zn 4.264 3.356 8.786
Dy 3.334 2.401 4.027
Zn 1.854 2.260 1.317
Ni 2.570 2.595 6.874
Zn 1.442 0.258 2.852
Zn 0.781 3.911 5.311
```

Values from the calculation:
Formation energy, eV per formula unit: -4.76
Space-group type: Immm, No. 71
Raw total energy, eV/atom: -2.97
Calculated density, g/cm³: 8.2


6.
Density functional theory data (PBE) for a geometry-optimized DyZn4Ni2 structure.

Cell and atoms, written as extended XYZ:
```
7
Lattice="4.445 -0.006 2.368 2.063 4.547 1.466 0.070 -0.337 5.192" Properties=species:S:1:pos:R:3 pbc="T T T"
Dy 4.445 -0.006 2.368
Zn 4.417 2.445 7.731
Zn 1.390 -0.130 2.738
Ni 2.177 2.106 3.924
Ni 4.401 2.098 5.102
Zn 2.161 1.760 1.295
Zn 5.188 4.335 6.288
```

Values from the calculation:
Formation energy, eV per formula unit: -1.98
Space-group type: C2/m, No. 12
Raw total energy, eV/atom: -3.32
Calculated density, g/cm³: 8.6


7.
Density functional theory data (PBE) for a geometry-optimized Dy2Zn3Ni2 structure.

Cell and atoms, written as extended XYZ:
```
7
Lattice="-0.536 3.393 -2.403 2.218 -4.012 -2.502 -6.218 -1.279 -0.417" Properties=species:S:1:pos:R:3 pbc="T T T"
Dy -1.975 0.703 -2.223
Zn 0.364 -1.509 -2.211
Ni -0.718 -0.609 -4.356
Zn 0.000 0.000 0.000
Zn -4.900 -0.389 -3.112
Ni -3.818 -1.289 -0.967
Dy -2.561 -2.600 -3.099
```

Values from the calculation:
Formation energy, eV per formula unit: -2.69
Space-group type: C2/m, No. 12
Raw total energy, eV/atom: -3.90
Calculated density, g/cm³: 8.6


8.
Density functional theory data (PBE) for a geometry-optimized Dy12Zn5Ni3 structure.

Cell and atoms, written as extended XYZ:
```
80
Lattice="14.339 0.000 0.000 -4.780 13.519 0.000 -4.780 -6.759 11.708" Properties=species:S:1:pos:R:3 pbc="T T T"
Zn -1.195 3.380 2.927
Dy -1.933 -0.688 5.116
Dy 9.555 1.328 0.738
Ni -3.585 -2.535 10.244
Dy -3.961 11.278 1.519
Zn -1.195 0.845 7.317
Dy 2.756 5.176 1.181
Dy 5.237 6.053 9.008
Zn 4.780 6.759 0.000
Dy 5.598 -0.944 7.035
Dy 5.146 1.815 10.926
Dy -1.571 4.519 10.188
Ni 8.364 9.294 1.463
Dy 2.756 8.574 0.781
Dy -0.366 4.945 0.781
Zn -3.585 7.604 4.390
Dy 2.847 1.395 3.892
Zn 1.195 4.225 10.244
Zn -2.390 6.759 0.000
Dy 6.712 7.447 6.592
Zn 5.975 5.915 4.390
Zn 3.585 2.535 1.463
Dy 2.385 8.836 5.073
Dy 0.004 4.683 5.073
Dy 0.457 8.154 7.816
Ni 3.585 7.604 7.317
Dy -2.847 7.466 9.008
Zn 1.195 -3.380 8.781
Dy -4.775 5.431 10.970
Ni -5.975 6.759 8.781
Zn 3.585 10.139 2.927
Dy 6.351 2.241 1.519
Zn -1.195 10.984 1.463
Dy 9.564 -3.355 7.373
Dy 5.146 -1.584 10.527
Dy 7.174 3.405 4.334
Dy -2.394 3.355 7.373
Zn 4.780 -3.380 5.854
Ni 5.975 0.845 4.390
Dy 2.024 -1.815 10.926
Dy -5.598 3.575 8.554
Dy 1.571 0.944 7.035
Ni -1.195 5.915 7.317
Dy 4.322 -1.395 3.892
Dy 7.627 -0.707 2.700
Dy 8.741 -4.519 10.188
Dy 4.775 2.076 6.635
Ni 10.754 0.000 2.927
Zn 5.975 -4.225 10.244
Dy 6.804 6.990 1.962
Ni 3.585 0.000 8.781
Dy -2.394 -5.431 10.970
Dy 1.933 5.365 7.816
Zn 7.170 0.000 0.000
Dy -5.146 0.231 9.746
Ni 1.195 6.759 2.927
Zn -4.780 3.380 5.854
Dy -4.784 10.114 4.334
Dy 2.024 1.584 10.527
Zn 2.390 3.380 5.854
Dy 3.209 5.816 4.673
Dy -2.024 -0.231 9.746
Dy -0.819 7.703 4.673
Dy 10.378 3.184 3.154
Dy 9.925 6.529 1.962
Dy -4.322 6.072 6.592
Dy 7.174 12.191 0.738
Zn 5.975 3.380 8.781
Zn 8.364 -0.845 7.317
Dy -0.457 0.707 2.700
Dy -1.571 -3.575 8.554
Ni -3.585 2.535 10.244
Ni 1.195 -0.845 4.390
Dy 6.351 10.335 3.154
Dy -0.366 8.343 1.181
Zn 0.000 0.000 0.000
Dy 9.102 0.688 5.116
Ni 8.364 4.225 1.463
Zn -2.390 -3.380 5.854
Dy 2.394 -2.076 6.635
```

Values from the calculation:
Formation energy, eV per formula unit: 4.43
Space-group type: Ia-3d, No. 230
Raw total energy, eV/atom: -3.73
Calculated density, g/cm³: 7.2


9.
Density functional theory data (PBE) for a geometry-optimized Dy2ZnNi7 structure.

Cell and atoms, written as extended XYZ:
```
10
Lattice="3.774 0.000 0.000 0.000 3.774 0.000 0.000 0.000 10.459" Properties=species:S:1:pos:R:3 pbc="T T T"
Ni 0.000 1.887 8.946
Ni 0.000 0.000 0.000
Ni 0.000 0.000 5.229
Dy 1.887 0.000 7.706
Ni 0.000 1.887 6.676
Dy 0.000 1.887 2.753
Ni 1.887 0.000 1.513
Ni 1.887 0.000 3.783
Zn 1.887 1.887 0.000
Ni 1.887 1.887 5.229
```

Values from the calculation:
Formation energy, eV per formula unit: -2.48
Space-group type: P-4m2, No. 115
Raw total energy, eV/atom: -5.34
Calculated density, g/cm³: 8.9


10.
Density functional theory data (PBE) for a geometry-optimized DyZn6Ni2 structure.

Cell and atoms, written as extended XYZ:
```
9
Lattice="-1.764 -2.220 -2.295 2.709 -6.424 1.233 -3.180 -4.767 4.158" Properties=species:S:1:pos:R:3 pbc="T T T"
Zn -1.748 -2.493 0.857
Ni -0.390 -4.522 1.775
Zn -2.124 -6.423 2.048
Zn 0.473 -3.118 -0.247
Zn -0.487 -10.918 2.239
Zn -2.708 -10.293 3.342
Zn -0.111 -6.989 1.048
Dy 0.000 0.000 0.000
Ni -1.845 -8.890 1.321
```

Values from the calculation:
Formation energy, eV per formula unit: -0.75
Space-group type: Immm, No. 71
Raw total energy, eV/atom: -2.73
Calculated density, g/cm³: 7.6


11.
Density functional theory data (PBE) for a geometry-optimized Dy2Zn5Ni5 structure.

Cell and atoms, written as extended XYZ:
```
12
Lattice="4.071 0.000 0.000 0.000 5.103 0.000 0.000 0.000 8.759" Properties=species:S:1:pos:R:3 pbc="T T T"
Ni 2.035 0.000 0.000
Dy 0.000 2.551 0.000
Zn 2.035 1.266 6.621
Ni 0.000 2.551 5.845
Dy 0.000 0.000 4.379
Ni 0.000 0.000 1.411
Zn 2.035 1.266 2.137
Zn 2.035 2.551 4.379
Zn 2.035 3.837 2.137
Ni 0.000 2.551 2.914
Zn 2.035 3.837 6.621
Ni 0.000 0.000 7.348
```

Values from the calculation:
Formation energy, eV per formula unit: -4.72
Space-group type: Pmmm, No. 47
Raw total energy, eV/atom: -4.10
Calculated density, g/cm³: 8.6


12.
Density functional theory data (PBE) for a geometry-optimized DyZnNi2 structure.

Cell and atoms, written as extended XYZ:
```
16
Lattice="4.781 0.000 0.000 0.000 5.146 0.000 0.000 0.000 11.760" Properties=species:S:1:pos:R:3 pbc="T T T"
Dy 2.390 1.287 10.527
Ni 0.000 2.573 0.000
Ni 1.221 1.287 1.581
Dy 0.000 1.287 6.934
Zn 2.390 1.287 3.774
Ni 3.560 3.860 10.179
Dy 2.390 3.860 1.234
Zn 2.390 3.860 7.986
Zn 0.000 3.860 8.132
Ni 0.000 0.000 0.000
Ni 2.390 0.000 5.880
Dy 0.000 3.860 4.826
Ni 1.221 3.860 10.179
Ni 3.560 1.287 1.581
Zn 0.000 1.287 3.628
Ni 2.390 2.573 5.880
```

Values from the calculation:
Formation energy, eV per formula unit: -0.57
Space-group type: Pmma, No. 51
Raw total energy, eV/atom: -4.50
Calculated density, g/cm³: 7.9


13.
Density functional theory data (PBE) for a geometry-optimized Dy3Zn2Ni9 structure.

Cell and atoms, written as extended XYZ:
```
14
Lattice="-3.572 1.695 0.520 -3.145 0.226 -7.052 -5.095 -5.691 -1.151" Properties=species:S:1:pos:R:3 pbc="T T T"
Ni -3.122 -0.546 -4.377
Dy -4.990 -0.480 -2.130
Ni -2.340 0.426 -2.170
Zn -5.495 -0.638 -5.085
Ni -3.996 -3.199 -1.731
Ni -8.902 -2.466 -7.238
Ni -7.815 -0.571 -5.952
Ni -4.120 -2.733 -4.101
Ni -2.910 -1.304 -0.445
Zn -6.317 -3.132 -2.597
Dy 0.000 0.000 0.000
Ni -9.472 -4.196 -5.512
Ni -8.689 -3.224 -3.306
Dy -6.822 -3.290 -5.552
```

Values from the calculation:
Formation energy, eV per formula unit: -4.46
Space-group type: Immm, No. 71
Raw total energy, eV/atom: -5.20
Calculated density, g/cm³: 9.1


14.
Density functional theory data (PBE) for a geometry-optimized DyZn3Ni structure.

Cell and atoms, written as extended XYZ:
```
10
Lattice="4.124 0.000 -1.009 0.000 5.148 0.000 -0.213 0.000 8.042" Properties=species:S:1:pos:R:3 pbc="T T T"
Zn 2.710 2.577 6.591
Zn 2.710 5.146 6.591
Zn 1.744 3.861 2.644
Dy 3.718 1.287 1.792
Zn 1.202 2.571 0.441
Ni 3.464 3.861 0.737
Ni 0.448 1.287 6.296
Dy 0.193 3.861 5.240
Zn 1.202 0.003 0.441
Zn 2.167 1.287 4.389
```

Values from the calculation:
Formation energy, eV per formula unit: -1.55
Space-group type: Cmcm, No. 63
Raw total energy, eV/atom: -3.15
Calculated density, g/cm³: 8.2


15.
Density functional theory data (PBE) for a geometry-optimized DyZn9Ni2 structure.

Cell and atoms, written as extended XYZ:
```
24
Lattice="-2.758 -2.969 -5.366 4.271 -6.148 -3.007 -4.957 -6.126 1.725" Properties=species:S:1:pos:R:3 pbc="T T T"
Zn -3.864 -5.568 -0.756
Dy -1.033 -6.879 -1.982
Zn -3.505 -8.921 -2.185
Zn 0.519 -4.077 -1.727
Zn -1.700 -9.816 -0.511
Ni -5.064 -8.729 -4.153
Zn -4.008 -6.663 -3.176
Zn -1.721 -4.072 -0.579
Zn 1.620 -5.581 -3.568
Zn 0.238 -8.930 -4.104
Zn -0.691 -4.292 -4.086
Zn 0.000 0.000 0.000
Zn 0.540 -9.821 -1.659
Ni -1.549 -10.318 -2.974
Zn -2.931 -4.286 -2.938
Zn -1.399 -10.821 -5.437
Zn -3.639 -10.815 -4.288
Zn -2.412 -8.364 -4.665
Ni -0.450 -8.740 -6.519
Dy -1.379 -1.485 -2.683
Zn -3.361 -7.827 0.235
Zn -0.265 -6.672 -5.095
Zn 2.123 -7.840 -2.577
Ni -2.585 -5.666 -5.016
```

Values from the calculation:
Formation energy, eV per formula unit: -3.04
Space-group type: I4_1/amd, No. 141
Raw total energy, eV/atom: -2.56
Calculated density, g/cm³: 8.0


16.
Density functional theory data (PBE) for a geometry-optimized DyZn2Ni4 structure.

Cell and atoms, written as extended XYZ:
```
7
Lattice="0.094 2.927 4.788 -2.728 -4.821 -0.906 5.355 -1.618 -0.453" Properties=species:S:1:pos:R:3 pbc="T T T"
Ni 2.831 -2.855 0.527
Zn 0.655 -3.693 0.291
Ni -0.734 -2.374 1.640
Dy 0.000 0.000 0.000
Zn 2.067 0.181 3.138
Ni 3.456 -1.138 1.789
Ni -0.109 -0.657 2.902
```

Values from the calculation:
Formation energy, eV per formula unit: 1.92
Space-group type: I4/mmm, No. 139
Raw total energy, eV/atom: -4.05
Calculated density, g/cm³: 6.9


17.
Density functional theory data (PBE) for a geometry-optimized Dy6Zn5Ni structure.

Cell and atoms, written as extended XYZ:
```
12
Lattice="-4.238 -2.316 -1.313 3.357 -6.215 0.129 -3.907 -1.975 6.572" Properties=species:S:1:pos:R:3 pbc="T T T"
Dy -0.797 -6.395 4.327
Zn -2.739 -1.441 1.848
Dy -3.991 -4.111 1.060
Dy -2.502 -3.240 4.262
Zn -5.406 -2.850 3.411
Zn -3.739 -5.963 3.519
Ni 0.000 0.000 0.000
Dy -2.286 -7.266 1.125
Dy 0.428 -5.873 -0.559
Zn 1.679 -3.108 0.064
Zn -1.048 -4.543 1.868
Dy -1.309 -2.658 -0.626
```

Values from the calculation:
Formation energy, eV per formula unit: -4.20
Space-group type: Cmmm, No. 65
Raw total energy, eV/atom: -3.66
Calculated density, g/cm³: 8.5


18.
Density functional theory data (PBE) for a geometry-optimized DyZn8Ni2 structure.

Cell and atoms, written as extended XYZ:
```
11
Lattice="-4.073 4.709 0.543 -4.587 -3.735 -2.016 -0.979 -1.403 4.826" Properties=species:S:1:pos:R:3 pbc="T T T"
Ni -2.036 2.354 0.271
Ni -2.294 -1.868 -1.008
Zn -4.718 -2.304 -0.301
Zn -4.921 1.875 3.654
Zn -7.581 -0.291 2.485
Zn -2.558 -0.856 3.339
Zn -7.080 0.427 0.014
Zn -5.219 -3.022 2.170
Zn -4.420 2.593 1.183
Zn -2.057 -0.138 0.868
Dy -4.819 -0.215 1.677
```

Values from the calculation:
Formation energy, eV per formula unit: 1.24
Space-group type: P4/mmm, No. 123
Raw total energy, eV/atom: -2.28
Calculated density, g/cm³: 6.7